Entry from Alexandria via LeMat-Bulk: a relaxed structure of Li7Mn2Co3O12 (PBE+U).

```
Li7Mn2Co3O12
1.0
4.955 0.000 0.000
0.000 8.851 0.000
-1.608 0.000 4.830
Li Mn Co O
7 2 3 12
Direct
0.000 0.000 0.000
0.000 0.152 0.500
0.000 0.500 0.500
0.000 0.848 0.500
0.500 0.000 0.500
0.500 0.331 0.500
0.500 0.669 0.500
0.000 0.333 0.000
0.000 0.667 0.000
0.500 0.159 0.000
0.500 0.500 0.000
0.500 0.841 0.000
0.240 0.500 0.217
0.243 0.185 0.226
0.243 0.815 0.226
0.253 0.343 0.780
0.253 0.657 0.780
0.276 0.000 0.756
0.724 0.000 0.244
0.747 0.343 0.220
0.747 0.657 0.220
0.757 0.185 0.774
0.757 0.815 0.774
0.760 0.500 0.783
```

Calculated values
As for the energy: -5.89 eV per atom. The space-group type is No. 10. The offset from the most stable computed form is 0.24 eV per formula unit.